A geometry-optimized LiYI4 structure. Source: Alexandria, functional GGA-PBE.

**Total magnetization**: 0.000 μB/cell
**ΔE_f (raw)**: -1329.5 meV per atom
**Space group**: P2/m, No. 10

abc: 7.536 4.345 8.093
angles: 90.00 106.63 90.00
Fractional coordinates of all 6 atoms:
Li (0.000, 0.000, 0.000)
Y (0.500, 0.500, 0.000)
I (0.233, 0.500, 0.213)
I (0.268, 0.000, 0.767)
I (0.732, 0.000, 0.233)
I (0.767, 0.500, 0.787)